MgZrBe3: optimized geometry, PBE-GGA.

```
MgZrBe3
1.0
4.6870 0.0000 0.0000
0.0000 4.6870 0.0000
0.0000 0.0000 4.6870
Be Mg Zr
3 1 1
direct
0.0000 0.5000 0.0000 Be
0.0000 0.0000 0.5000 Be
0.5000 0.0000 0.0000 Be
0.5000 0.5000 0.5000 Mg
0.0000 0.0000 0.0000 Zr
```

Summary:
energy = -2.772 eV/atom
space-group type = Pm-3m
ρ = 2.299 g/cm3
polymorph energy (0 for the lowest one) = 2.98 eV per formula unit